Entry from the Alexandria database: an optimized crystal structure of In2AsRh2 (PBE-GGA).

Output
N(E_F) (states/eV/cell): 6.939
V (Å³/atom): 18.267
Formation enthalpy at 0 K (eV per atom): -0.176

Cell: 7.589 7.589 3.172 Å, 90.00 90.00 90.00°
Space group P4/mbm (No. 127)
One atom of each set of equivalent atoms:
In: 0.153 0.347 0.000 [4 per cell]
As: 0.000 0.000 0.500 [2 per cell]
Rh: 0.146 0.646 0.500 [4 per cell]